(1)
First-principles (GGA-PBE) data for TcNi2Ir after structural relaxation, as listed in the Alexandria database.

a = 4.589 Å, b = 4.589 Å, c = 4.589 Å
α = 132.97°, β = 132.96°, γ = 68.71°
Element x y z (fractional)
Tc  0.500  0.500  0.000
Ir  0.750  0.250  0.500
Ni  0.250  0.750  0.500
Ni  0.000  0.000  0.000

Properties
Formation enthalpy at 0 K (eV/atom): -0.077
Space group: I-4m2 (119)
DOS(E_F) (states/eV per atom): 1.18
Excess energy over the best structure of this formula in the dataset (meV per atom): 0.0
V (Å³/atom): 12.70

(2)
First-principles (GGA-PBE) data for TcNi3Ir after structural relaxation, as listed in the Alexandria database.

a = 4.495 Å, b = 4.495 Å, c = 4.495 Å
α = 90.00°, β = 90.00°, γ = 90.00°
Last column: magnetic moment on the atom in μB.
Element x y z (fractional)
Ni  0.000  0.500  0.000  0.69
Ni  0.500  0.000  0.000  0.57
Ni  0.000  0.000  0.500  0.95
Ir  0.000  0.000  0.000  0.78
Tc  0.500  0.500  0.500  3.26

Properties
Formation enthalpy at 0 K (eV/atom): 1.577
Space group: Pm-3m (221)
DOS(E_F) (states/eV per atom): 1.55
Excess energy over the best structure of this formula in the dataset (meV per atom): 1580.1
V (Å³/atom): 18.16

(3)
First-principles (GGA-PBE) data for TcNi2Ir after structural relaxation, as listed in the Alexandria database.

a = 2.678 Å, b = 3.710 Å, c = 5.156 Å
α = 90.00°, β = 90.00°, γ = 90.00°
Element x y z (fractional)
Tc  0.000  0.000  0.496
Ni  0.000  0.000  0.013
Ni  0.500  0.500  0.241
Ir  0.500  0.500  0.749

Properties
Formation enthalpy at 0 K (eV/atom): -0.071
Space group: Pmm2 (25)
DOS(E_F) (states/eV per atom): 0.82
Excess energy over the best structure of this formula in the dataset (meV per atom): 6.0
V (Å³/atom): 12.81

(4)
First-principles (GGA-PBE) data for TcNi5Ir6 after structural relaxation, as listed in the Alexandria database.

a = 4.533 Å, b = 5.355 Å, c = 7.020 Å
α = 67.59°, β = 88.02°, γ = 90.00°
Element x y z (fractional)
Ir  0.500  0.744  0.000
Ir  0.167  0.916  0.664
Ir  0.500  0.256  0.000
Ir  0.167  0.420  0.664
Ir  0.833  0.580  0.336
Ir  0.833  0.084  0.336
Ni  0.669  0.162  0.676
Ni  0.331  0.838  0.324
Ni  0.334  0.332  0.335
Ni  0.000  0.500  0.000
Ni  0.666  0.668  0.665
Tc  0.000  0.000  0.000

Properties
Formation enthalpy at 0 K (eV/atom): -0.002
Space group: C2/m (12)
DOS(E_F) (states/eV per atom): 1.14
V (Å³/atom): 13.12

(5)
First-principles (GGA-PBE) data for Tc2NiIr after structural relaxation, as listed in the Alexandria database.

a = 4.296 Å, b = 4.296 Å, c = 4.296 Å
α = 60.00°, β = 60.00°, γ = 60.00°
Element x y z (fractional)
Tc  0.750  0.750  0.750
Tc  0.250  0.250  0.250
Ni  0.000  0.000  0.000
Ir  0.500  0.500  0.500

Properties
Formation enthalpy at 0 K (eV/atom): 0.339
Space group: Fm-3m (225)
DOS(E_F) (states/eV per atom): 2.05
Excess energy over the best structure of this formula in the dataset (meV per atom): 490.5
V (Å³/atom): 14.02

(6)
First-principles (GGA-PBE) data for TcNi2Ir after structural relaxation, as listed in the Alexandria database.

a = 8.599 Å, b = 8.599 Å, c = 8.599 Å
α = 17.77°, β = 17.77°, γ = 17.77°
Element x y z (fractional)
Ni  0.999  0.999  0.999
Ni  0.501  0.501  0.501
Ir  0.750  0.750  0.750
Tc  0.250  0.250  0.250

Properties
Formation enthalpy at 0 K (eV/atom): 0.085
Space group: R-3m (166)
DOS(E_F) (states/eV per atom): 1.43
Excess energy over the best structure of this formula in the dataset (meV per atom): 161.9
V (Å³/atom): 12.93